No. 1
VASP calculation (PBEsol) on an optimized crystal structure of LiBe3Al.

Cell: 4.321 4.321 4.321 Å, 90.00 90.00 90.00°
Element x y z (fractional)
Li: 0.000 0.000 0.000
Be: 0.000 0.500 0.500
Be: 0.500 0.000 0.500
Be: 0.500 0.500 0.000
Al: 0.500 0.500 0.500

As for the volume: 16.13 Å³/atom. Its energy of formation is 0.930 eV/atom.

No. 2
VASP calculation (PBEsol) on an optimized crystal structure of La2MgCd.

Cell: 4.706 4.706 10.159 Å, 90.00 90.00 90.00°
Element x y z (fractional)
La: 0.000 0.000 0.000
La: 0.000 0.500 0.250
La: 0.500 0.000 0.750
La: 0.500 0.500 0.500
Mg: 0.000 0.000 0.500
Mg: 0.500 0.500 0.000
Cd: 0.000 0.500 0.750
Cd: 0.500 0.000 0.250

As for the volume: 28.13 Å³/atom. Its energy of formation is -0.135 eV/atom.

No. 3
VASP calculation (PBEsol) on an optimized crystal structure of SrCeAlO4.

Cell: 3.722 3.722 12.322 Å, 90.00 90.00 90.00°
Element x y z (fractional)
Sr: 0.000 0.000 0.000
Sr: 0.500 0.500 0.500
Ce: 0.000 0.000 0.287
Ce: 0.500 0.500 0.787
Al: 0.000 0.000 0.640
Al: 0.500 0.500 0.140
O: 0.000 0.000 0.477
O: 0.000 0.000 0.804
O: 0.000 0.500 0.149
O: 0.000 0.500 0.649
O: 0.500 0.000 0.149
O: 0.500 0.000 0.649
O: 0.500 0.500 0.304
O: 0.500 0.500 0.977

As for the volume: 12.19 Å³/atom. As for the uncorrected formation energy: -21.91 eV/f.u.

No. 4
VASP calculation (PBEsol) on an optimized crystal structure of Zr3GaBi.

Cell: 4.970 4.970 4.970 Å, 90.00 90.00 90.00°
Element x y z (fractional)
Zr: 0.000 0.000 0.500
Zr: 0.000 0.500 0.000
Zr: 0.500 0.000 0.000
Ga: 0.000 0.000 0.000
Bi: 0.500 0.500 0.500

As for the volume: 24.56 Å³/atom. Its energy of formation is 0.178 eV/atom.